1.
4
Lattice="-1.237 -0.177 3.645 -0.104 -3.845 -0.222 6.671 -0.310 2.250" Properties=species:S:1:pos:R:3 comment="PBE-GGA LiCaIn2, optimized geometry" magmom_total_mub_per_cell=0.0 dos_at_fermi_per_ev_cell=1.56 vol_a3_per_cell=104.6 formation_enthalpy_0k_mev_per_atom=-222 pbc="T T T"
In 0.147 -0.007 0.050
In 1.155 -2.096 2.327
Li 3.005 -0.140 1.013
Ca 4.358 -2.245 3.407

***

2.
8
Lattice="6.149 0.250 0.000 -0.261 6.149 0.000 -2.944 -3.199 5.340" Properties=species:S:1:pos:R:3 comment="PBE-GGA TaAg2HgS4, optimized geometry" magmom_total_mub_per_cell=0.0 dos_at_fermi_per_ev_cell=2.41 vol_a3_per_cell=202.3 raw_formation_energy_mev_per_atom=-367.4 pbc="T T T"
S 4.333 1.922 1.322
Ag 3.075 0.125 2.673
S 1.556 4.477 1.322
Hg 0.000 0.000 0.008
Ag -0.131 3.074 2.673
Ta 0.000 0.000 5.338
S 1.278 1.389 4.014
S -1.278 -1.389 4.014

***

3.
8
Lattice="7.286 0.109 0.155 -3.493 6.395 -0.155 -3.493 -2.321 5.961" Properties=species:S:1:pos:R:3 comment="PBE-GGA Cs2AgCl5, optimized geometry" magmom_total_mub_per_cell=0.0 relative_energy_kj_per_mol_atoms=0.0 vol_a3_per_cell=282.2 raw_formation_energy_mev_per_atom=-1147.6 pbc="T T T"
Ag -0.062 0.036 0.051
Cl -3.384 -0.441 4.507
Cl -3.384 4.388 1.119
Cl 1.801 0.894 1.273
Cs 0.227 4.226 1.388
Cs 0.227 -0.133 4.446
Cl -1.282 3.162 4.507
Cl -2.079 1.213 1.728

***

4.
5
Lattice="5.385 0.000 0.000 0.000 5.385 0.000 0.000 0.000 5.048" Properties=species:S:1:pos:R:3 comment="PBE-GGA KBaN2F, optimized geometry" magmom_total_mub_per_cell=4.0 dos_at_fermi_per_ev_cell=1.51 relative_energy_kj_per_mol_atoms=0.0 vol_a3_per_cell=146.4 raw_formation_energy_mev_per_atom=7.8 pbc="T T T"
K 2.693 2.693 2.524
Ba 0.000 0.000 0.000
N 0.000 2.693 0.000
N 2.693 0.000 0.000
F 0.000 0.000 2.524